(1)
Density functional theory data (PBE-GGA) for a relaxed GaSi crystal.

## Properties
DOS at the Fermi energy = 0.1988 states/eV/atom
Polymorph energy (0 for the lowest one) = 0.176 eV/atom
Space-group type = I4/m, No. 87

```
GaSi
1.0
11.3197 0.0000 0.0000
0.0000 11.3197 0.0000
0.0000 0.0000 2.8961
Si Ga
8 8
Direct
0.2404 0.3918 0.0000 Si
0.1082 0.7404 0.5000 Si
0.2596 0.1082 0.5000 Si
0.6082 0.2404 0.0000 Si
0.3918 0.7596 0.0000 Si
0.8918 0.2596 0.5000 Si
0.7596 0.6082 0.0000 Si
0.7404 0.8918 0.5000 Si
0.2374 0.6051 0.0000 Ga
0.7626 0.3949 0.0000 Ga
0.8949 0.7374 0.5000 Ga
0.3949 0.2374 0.0000 Ga
0.7374 0.1051 0.5000 Ga
0.6051 0.7626 0.0000 Ga
0.1051 0.2626 0.5000 Ga
0.2626 0.8949 0.5000 Ga
```

=====

(2)
Density functional theory data (PBE-GGA) for a relaxed GaSi3 crystal.

## Properties
DOS at the Fermi energy = 1.0108 states/eV/atom
Polymorph energy (0 for the lowest one) = 0.332 eV/atom
Space-group type = Fm-3m, No. 225

```
GaSi3
1.0
4.4519 0.0000 0.0000
2.2260 3.8555 0.0000
2.2260 1.2852 3.6350
Si Ga
3 1
Direct
0.7500 0.7500 0.7500 Si
0.5000 0.5000 0.5000 Si
0.2500 0.2500 0.2500 Si
0.0000 0.0000 0.0000 Ga
```